# 1
The following is a DFT calculation (PBE) of an optimized crystal structure of Dy2ZrS2N2.

Geometry as extended XYZ:
```
14
Lattice="4.204 0.000 0.000 0.000 4.204 0.000 0.000 0.000 14.043" Properties=species:S:1:pos:R:3 pbc="T T T"
Dy 0.000 0.000 1.639
Dy 0.000 0.000 12.403
Dy 2.102 2.102 5.382
Dy 2.102 2.102 8.661
Zr 0.000 0.000 7.021
Zr 2.102 2.102 0.000
S 0.000 0.000 4.433
S 0.000 0.000 9.610
S 2.102 2.102 2.588
S 2.102 2.102 11.455
N 0.000 2.102 0.000
N 0.000 2.102 7.021
N 2.102 0.000 0.000
N 2.102 0.000 7.021
```

Results
- E (eV per cell) = -108.3
- crystal system = tetragonal
- theoretical density (g/cm³) = 6.8
- magnetic moment (μB/f.u.) = 0.00
- raw formation energy (eV/f.u.) = -11.48

# 2
The following is a DFT calculation (PBE) of an optimized crystal structure of Dy6Sb3N.

Geometry as extended XYZ:
```
20
Lattice="5.876 -7.106 0.000 5.876 7.106 0.000 0.000 0.000 7.020" Properties=species:S:1:pos:R:3 pbc="T T T"
Dy 5.876 6.340 3.510
Dy 4.062 3.389 3.359
Dy 5.876 3.866 6.504
Dy 3.966 0.496 6.688
Dy 3.966 -0.496 3.178
Dy 7.690 3.389 3.359
Dy 4.062 -3.389 6.869
Dy 7.786 0.496 6.688
Dy 7.786 -0.496 3.178
Dy 5.876 -3.866 2.994
Dy 7.690 -3.389 6.869
Dy 5.876 -6.340 0.000
Sb 1.978 1.454 4.652
Sb 1.978 -1.454 1.142
Sb 5.876 1.552 1.767
Sb 5.876 -1.552 5.277
Sb 9.774 1.454 4.652
Sb 9.774 -1.454 1.142
N 5.876 4.290 4.328
N 5.876 -4.290 0.818
```

Results
- E (eV per cell) = -114.1
- crystal system = orthorhombic
- theoretical density (g/cm³) = 7.7
- magnetic moment (μB/f.u.) = 1.44
- raw formation energy (eV/f.u.) = -8.75